Run 1
# FeNiIrRh, optimized geometry, DFT PBE
# Fermi-level density of states (states/eV/atom): 1.0043
data_FeNiIrRh
_cell_length_a 5.937
_cell_length_b 5.937
_cell_length_c 5.937
_cell_angle_alpha 90.00
_cell_angle_beta 90.00
_cell_angle_gamma 90.00
_space_group_name_H-M_alt 'F -4 3 m'
_space_group_IT_number 216
_space_group_name_Hall 'F -4 2 3'
loop_
_atom_site_label
_atom_site_fract_x
_atom_site_fract_y
_atom_site_fract_z
_atom_site_occupancy
Fe1 0.000 0.000 0.000 1
Ni1 0.000 0.000 0.500 1
Ir1 0.250 0.250 0.750 1
Rh1 0.250 0.250 0.250 1

***

Run 2
# FeNiIrRh, optimized geometry, DFT PBE
# Fermi-level density of states (states/eV/atom): 1.2813
data_FeNiIrRh
_cell_length_a 2.694
_cell_length_b 3.559
_cell_length_c 5.403
_cell_angle_alpha 90.00
_cell_angle_beta 90.00
_cell_angle_gamma 90.00
_space_group_name_H-M_alt 'P m m 2'
_space_group_IT_number 25
_space_group_name_Hall 'P 2 -2'
loop_
_atom_site_label
_atom_site_fract_x
_atom_site_fract_y
_atom_site_fract_z
_atom_site_occupancy
Fe1 0.000 0.000 0.000 1
Ni1 0.000 0.000 0.494 1
Ir1 0.500 0.500 0.250 1
Rh1 0.500 0.500 0.745 1

***

Quick one: most stable of them? run 2

***

Run 1
# VFeNiIr, optimized geometry, DFT PBE
# Fermi-level density of states (states/eV/atom): 0.5341
data_VFeNiIr
_cell_length_a 3.648
_cell_length_b 3.692
_cell_length_c 3.710
_cell_angle_alpha 90.00
_cell_angle_beta 90.00
_cell_angle_gamma 90.00
_space_group_name_H-M_alt 'P m m m'
_space_group_IT_number 47
_space_group_name_Hall '-P 2 2'
loop_
_atom_site_label
_atom_site_fract_x
_atom_site_fract_y
_atom_site_fract_z
_atom_site_occupancy
V1 0.000 0.000 0.000 1
Fe1 0.500 0.000 0.500 1
Ni1 0.000 0.500 0.500 1
Ir1 0.500 0.500 0.000 1

***

Run 2
# VFeNiIr, optimized geometry, DFT PBE
# Fermi-level density of states (states/eV/atom): 0.9448
data_VFeNiIr
_cell_length_a 5.872
_cell_length_b 5.872
_cell_length_c 5.872
_cell_angle_alpha 90.00
_cell_angle_beta 90.00
_cell_angle_gamma 90.00
_space_group_name_H-M_alt 'F -4 3 m'
_space_group_IT_number 216
_space_group_name_Hall 'F -4 2 3'
loop_
_atom_site_label
_atom_site_fract_x
_atom_site_fract_y
_atom_site_fract_z
_atom_site_occupancy
V1 0.000 0.000 0.000 1
Fe1 0.250 0.250 0.250 1
Ni1 0.000 0.000 0.500 1
Ir1 0.250 0.250 0.750 1

***

Quick one: most stable of them? run 1

***

Run 1
# FeNiIrW, optimized geometry, DFT PBE
# Fermi-level density of states (states/eV/atom): 1.0676
data_FeNiIrW
_cell_length_a 5.991
_cell_length_b 5.991
_cell_length_c 5.991
_cell_angle_alpha 90.00
_cell_angle_beta 90.00
_cell_angle_gamma 90.00
_space_group_name_H-M_alt 'F -4 3 m'
_space_group_IT_number 216
_space_group_name_Hall 'F -4 2 3'
loop_
_atom_site_label
_atom_site_fract_x
_atom_site_fract_y
_atom_site_fract_z
_atom_site_occupancy
Fe1 0.000 0.000 0.000 1
Ni1 0.250 0.250 0.250 1
Ir1 0.000 0.000 0.500 1
W1 0.250 0.250 0.750 1

***

Run 2
# FeNiIrW, optimized geometry, DFT PBE
# Fermi-level density of states (states/eV/atom): 0.5510
data_FeNiIrW
_cell_length_a 3.727
_cell_length_b 3.727
_cell_length_c 7.626
_cell_angle_alpha 90.00
_cell_angle_beta 90.00
_cell_angle_gamma 90.00
_space_group_name_H-M_alt 'I -4 m 2'
_space_group_IT_number 119
_space_group_name_Hall 'I -4 -2'
loop_
_atom_site_label
_atom_site_fract_x
_atom_site_fract_y
_atom_site_fract_z
_atom_site_occupancy
Fe1 0.000 0.000 0.000 1
Ni1 0.000 0.500 0.750 1
Ir1 0.000 0.500 0.250 1
W1 0.000 0.000 0.500 1

***

Quick one: most stable of them? run 2

***

Run 1
# ZnFeNiIr, optimized geometry, DFT PBE
# Fermi-level density of states (states/eV/atom): 0.4178
data_ZnFeNiIr
_cell_length_a 3.888
_cell_length_b 3.888
_cell_length_c 6.845
_cell_angle_alpha 90.00
_cell_angle_beta 90.00
_cell_angle_gamma 90.00
_space_group_name_H-M_alt 'I -4 m 2'
_space_group_IT_number 119
_space_group_name_Hall 'I -4 -2'
loop_
_atom_site_label
_atom_site_fract_x
_atom_site_fract_y
_atom_site_fract_z
_atom_site_occupancy
Zn1 0.000 0.000 0.000 1
Fe1 0.000 0.000 0.500 1
Ni1 0.000 0.500 0.250 1
Ir1 0.000 0.500 0.750 1

***

Run 2
# ZnFeNiIr, optimized geometry, DFT PBE
# Fermi-level density of states (states/eV/atom): 0.6991
data_ZnFeNiIr
_cell_length_a 5.925
_cell_length_b 5.925
_cell_length_c 5.925
_cell_angle_alpha 90.00
_cell_angle_beta 90.00
_cell_angle_gamma 90.00
_space_group_name_H-M_alt 'F -4 3 m'
_space_group_IT_number 216
_space_group_name_Hall 'F -4 2 3'
loop_
_atom_site_label
_atom_site_fract_x
_atom_site_fract_y
_atom_site_fract_z
_atom_site_occupancy
Zn1 0.000 0.000 0.000 1
Fe1 0.000 0.000 0.500 1
Ni1 0.250 0.250 0.250 1
Ir1 0.250 0.250 0.750 1

***

Quick one: most stable of them? run 1